1.
Computed, not measured: a relaxed CaScO2 crystal at the PBE level of DFT.

## Properties
Crystal system ... tetragonal
Density ... 2.96 g/cm³
Formation energy without anion corrections ... -2.744 eV per atom
DOS(E_F) ... 3.44 states/eV/cell

abc: 5.1191 5.1191 6.1764
angles: 65.52 65.52 90.00
Last column: nearest neighbours and their distance in Å.
Atoms (fractional coordinates):
O (0.0828, 0.6250, 0.2500)  2 Sc 2.08
Ca (0.2500, 0.7500, 0.5000)  4 O 2.33
O (0.3750, 0.3328, 0.7500)  2 Sc 2.08
Ca (0.5000, 0.5000, 0.0000)  4 O 2.33
O (0.6672, 0.1250, 0.2500)  2 Sc 2.08
O (0.8750, 0.9172, 0.7500)  2 Sc 2.08
Sc (0.0000, 0.0000, 0.0000)  4 O 2.08
Sc (0.7500, 0.2500, 0.5000)  4 O 2.08

2.
Computed, not measured: a relaxed Cr2BiPt2 crystal at the PBE level of DFT.

## Properties
Crystal system ... tetragonal
Calculated formation energy ... 0.06 eV per atom
Density ... 13.08 g/cm³
Energy above the lowest structure with this stoichiometry ... 0 meV per atom
DOS(E_F) ... 10.80 states/eV/cell

abc: 7.7067 7.7067 3.0050
angles: 90.00 90.00 90.00
Last column: nearest neighbours and their distance in Å.
Atoms (fractional coordinates):
Cr (0.8385, 0.3385, 0.5000)  6 Pt 2.71-2.72, 2 Cr 3.00
Bi (0.0000, 0.0000, 0.0000)  2 Bi 3.00, 4 Pt 3.02, 8 Cr 3.26
Pt (0.6312, 0.1312, 0.0000)  6 Cr 2.71-2.72, 3 Pt 2.86-3.00, 2 Bi 3.02
Pt (0.3688, 0.8688, 0.0000)  6 Cr 2.71-2.72, 3 Pt 2.86-3.00, 2 Bi 3.02
Bi (0.5000, 0.5000, 0.0000)  2 Bi 3.00, 4 Pt 3.02, 8 Cr 3.26
Cr (0.1615, 0.6615, 0.5000)  6 Pt 2.71-2.72, 2 Cr 3.00
Cr (0.3385, 0.1615, 0.5000)  6 Pt 2.71-2.72, 2 Cr 3.00
Pt (0.1312, 0.3688, 0.0000)  6 Cr 2.71-2.72, 3 Pt 2.86-3.00, 2 Bi 3.02
Pt (0.8688, 0.6312, 0.0000)  6 Cr 2.71-2.72, 3 Pt 2.86-3.00, 2 Bi 3.02
Cr (0.6615, 0.8385, 0.5000)  6 Pt 2.71-2.72, 2 Cr 3.00

3.
Computed, not measured: a relaxed BaPbBr2 crystal at the PBE level of DFT.

## Properties
Crystal system ... tetragonal
Density ... 6.42 g/cm³
Energy above the lowest structure with this stoichiometry ... 61 meV per atom
Formation energy without anion corrections ... -1.085 eV per atom
DOS(E_F) ... 1.42 states/eV/cell

abc: 4.5446 5.3571 5.3571
angles: 90.00 90.00 90.00
Last column: nearest neighbours and their distance in Å.
Atoms (fractional coordinates):
Br (0.0000, 0.0000, 0.0000)  4 Pb 3.51, 4 Ba 3.51, 4 Br 3.79
Ba (0.5000, 0.0000, 0.5000)  8 Br 3.51, 4 Pb 3.79
Br (0.0000, 0.5000, 0.5000)  4 Ba 3.51, 4 Pb 3.51, 4 Br 3.79
Pb (0.5000, 0.5000, 0.0000)  8 Br 3.51, 4 Ba 3.79